No. 1
The following is a PBE-GGA calculation of a relaxed Pm3Tm4Th crystal, from the Alexandria database.

Geometry as POSCAR:
```
Pm3Tm4Th
1.0
6.1824 0.0000 0.0000
0.0000 3.5724 0.0000
-2.0739 0.0000 11.4944
Pm Tm Th
3 4 1
Direct
0.0000 0.0000 0.0000 Pm
0.0000 0.5000 0.5000 Pm
0.5000 0.0000 0.5000 Pm
0.2540 0.5000 0.2488 Tm
0.2559 0.0000 0.7540 Tm
0.7441 0.0000 0.2460 Tm
0.7460 0.5000 0.7512 Tm
0.5000 0.5000 0.0000 Th
```

Energy above the lowest structure with this stoichiometry ... 0.00 eV/f.u.
DFT total energy ... -4.92 eV per atom
ΔH_f (0 K) ... 0.024 eV per atom
ρ ... 8.78 g cm⁻³

***

No. 2
The following is a PBE-GGA calculation of a relaxed Pm2TmTh crystal, from the Alexandria database.

Geometry as POSCAR:
```
Pm2TmTh
1.0
0.0000 4.0405 4.0405
4.0405 0.0000 4.0405
4.0405 4.0405 0.0000
Pm Tm Th
2 1 1
Direct
0.2500 0.2500 0.2500 Pm
0.7500 0.7500 0.7500 Pm
0.0000 0.0000 0.0000 Tm
0.5000 0.5000 0.5000 Th
```

Energy above the lowest structure with this stoichiometry ... 0.73 eV/f.u.
DFT total energy ... -5.14 eV per atom
ΔH_f (0 K) ... 0.208 eV per atom
ρ ... 8.70 g cm⁻³

***

No. 3
The following is a PBE-GGA calculation of a relaxed Pm2Tm6Th crystal, from the Alexandria database.

Geometry as POSCAR:
```
Pm2Tm6Th
1.0
8.3968 -4.8514 0.0000
8.3968 4.8514 0.0000
-0.0105 0.0000 3.4509
Pm Tm Th
2 6 1
Direct
0.1666 0.1666 0.0000 Pm
0.8334 0.8334 0.0000 Pm
0.1689 0.4998 0.5000 Tm
0.1687 0.8313 0.5000 Tm
0.4998 0.1689 0.5000 Tm
0.5002 0.8311 0.5000 Tm
0.8313 0.1687 0.5000 Tm
0.8311 0.5002 0.5000 Tm
0.5000 0.5000 0.0000 Th
```

Energy above the lowest structure with this stoichiometry ... 0.00 eV/f.u.
DFT total energy ... -4.79 eV per atom
ΔH_f (0 K) ... 0.069 eV per atom
ρ ... 9.07 g cm⁻³

***

No. 4
The following is a PBE-GGA calculation of a relaxed Pm2Tm5Th2 crystal, from the Alexandria database.

Geometry as POSCAR:
```
Pm2Tm5Th2
1.0
11.0838 -1.7320 0.0000
11.0838 1.7320 0.0000
-1.2739 0.0000 7.9684
Pm Tm Th
2 5 2
Direct
0.1762 0.1762 0.1491 Pm
0.8238 0.8238 0.8509 Pm
0.0000 0.0000 0.0000 Tm
0.0916 0.0916 0.7272 Tm
0.3078 0.3078 0.4575 Tm
0.6922 0.6922 0.5425 Tm
0.9084 0.9084 0.2728 Tm
0.4482 0.4482 0.6495 Th
0.5518 0.5518 0.3505 Th
```

Energy above the lowest structure with this stoichiometry ... 0.18 eV/f.u.
DFT total energy ... -4.93 eV per atom
ΔH_f (0 K) ... 0.259 eV per atom
ρ ... 8.68 g cm⁻³

***

No. 5
The following is a PBE-GGA calculation of a relaxed Pm3TmTh2 crystal, from the Alexandria database.

Geometry as POSCAR:
```
Pm3TmTh2
1.0
10.1453 0.0000 0.0000
0.0000 3.6124 0.0000
-0.0754 0.0000 10.7707
Pm Tm Th
6 2 4
Direct
0.1230 0.2500 0.2504 Pm
0.1381 0.2500 0.9166 Pm
0.3685 0.7500 0.4160 Pm
0.6315 0.2500 0.5840 Pm
0.8619 0.7500 0.0834 Pm
0.8770 0.7500 0.7496 Pm
0.3747 0.7500 0.7497 Tm
0.6253 0.2500 0.2503 Tm
0.1225 0.2500 0.5826 Th
0.3843 0.7500 0.0824 Th
0.6157 0.2500 0.9176 Th
0.8775 0.7500 0.4174 Th
```

DFT total energy ... -5.56 eV per atom
ΔH_f (0 K) ... 0.039 eV per atom
ρ ... 8.99 g cm⁻³

***

No. 6
The following is a PBE-GGA calculation of a relaxed Pm8Tm6Th crystal, from the Alexandria database.

Geometry as POSCAR:
```
Pm8Tm6Th
1.0
4.5188 2.6089 6.9716
-4.5188 2.6089 6.9716
0.0000 -5.2178 6.9716
Pm Tm Th
8 6 1
Direct
0.0781 0.0781 0.0781 Pm
0.2153 0.6148 0.2578 Pm
0.2578 0.2153 0.6148 Pm
0.3852 0.7422 0.7847 Pm
0.6148 0.2578 0.2153 Pm
0.7422 0.7847 0.3852 Pm
0.7847 0.3852 0.7422 Pm
0.9219 0.9219 0.9219 Pm
0.0360 0.5945 0.7498 Tm
0.2502 0.9640 0.4055 Tm
0.4055 0.2502 0.9640 Tm
0.5945 0.7498 0.0360 Tm
0.7498 0.0360 0.5945 Tm
0.9640 0.4055 0.2502 Tm
0.5000 0.5000 0.5000 Th
```

DFT total energy ... -4.69 eV per atom
ΔH_f (0 K) ... 0.127 eV per atom
ρ ... 8.10 g cm⁻³

***

Question: Which of these has the lowest DFT total energy?
Answer: Pm3TmTh2

***

Question: The highest DFT total energy belongs to which entry?
Answer: Pm8Tm6Th